! ZnInPPt | Alexandria via LeMat-Bulk | GGA-PBE | optimized geometry; values from VASP
&SYSTEM
  ibrav = 0, nat = 4, ntyp = 4
/
ATOMIC_SPECIES
In 114.82 In.upf
P 30.97 P.upf
Zn 65.41 Zn.upf
Pt 195.08 Pt.upf
ATOMIC_POSITIONS crystal
In 0.3329 0.5290 0.2121
P 0.2698 0.2038 0.8735
Zn 0.8264 0.9884 0.3033
Pt 0.7932 0.3251 0.6188
CELL_PARAMETERS angstrom
-3.5179 -1.7652 1.5787
2.2119 -1.3547 3.3973
-0.0284 2.9684 3.9941
! relative energy among the computed polymorphs	0.0000	eV per atom
! energy	-4.091	eV/atom
! ΔH_f (0 K)	-0.225	eV/atom
! SG	No. 1